# 1
An optimized crystal structure of Sc2PbAu. Source: the Alexandria database, functional PBE. Values from VASP.

Electronic total energy in eV/atom: -5.402
Total moment in μB/cell: 0.0
Mass density in g/cm3: 9.13
Energy of formation in eV per atom: -0.490

```
&SYSTEM
  ibrav = 0, nat = 4, ntyp = 3
/
ATOMIC_SPECIES
Au 196.97 Au.upf
Sc 44.96 Sc.upf
Pb 207.20 Pb.upf
CELL_PARAMETERS angstrom
-1.0234 -3.2463 5.0742
4.2199 -0.5826 4.3802
-3.3542 3.8580 -3.3464
ATOMIC_POSITIONS crystal
Au 0.5094 0.5094 0.0000
Sc 0.9940 0.9940 0.0000
Sc 0.7232 0.2232 0.5000
Pb 0.2735 0.7735 0.5000
```

=====

# 2
An optimized crystal structure of ScPbAu. Source: the Alexandria database, functional PBE. Values from VASP.

Electronic total energy in eV/atom: -4.769
Total moment in μB/cell: 0.0
Mass density in g/cm3: 10.08
Energy of formation in eV per atom: -0.330

```
&SYSTEM
  ibrav = 0, nat = 3, ntyp = 3
/
ATOMIC_SPECIES
Sc 44.96 Sc.upf
Au 196.97 Au.upf
Pb 207.20 Pb.upf
CELL_PARAMETERS angstrom
-2.4816 -2.5416 0.7960
3.5430 -0.8340 0.0589
0.2889 1.6667 6.2224
ATOMIC_POSITIONS crystal
Sc 0.6667 0.3333 0.7038
Au 0.0000 0.0000 0.9720
Pb 0.3333 0.6667 0.3242
```

=====

# 3
An optimized crystal structure of ScPb2Au. Source: the Alexandria database, functional PBE. Values from VASP.

Electronic total energy in eV/atom: -4.589
Total moment in μB/cell: 0.0
Mass density in g/cm3: 10.72
ΔE to the lowest computed polymorph in meV/atom: 0
Energy of formation in eV per atom: -0.333

```
&SYSTEM
  ibrav = 0, nat = 4, ntyp = 3
/
ATOMIC_SPECIES
Pb 207.20 Pb.upf
Au 196.97 Au.upf
Sc 44.96 Sc.upf
CELL_PARAMETERS angstrom
3.4942 0.0000 0.0000
0.0000 3.4756 -0.0039
0.0000 3.5514 8.3701
ATOMIC_POSITIONS crystal
Pb 0.5000 0.2196 0.2838
Pb 0.0000 0.0344 0.9605
Au 0.5000 0.7880 0.7116
Sc 0.0000 0.4580 0.5440
```

=====

# 4
An optimized crystal structure of ScPbAu2. Source: the Alexandria database, functional PBE. Values from VASP.

Electronic total energy in eV/atom: -4.394
Total moment in μB/cell: 0.0
Mass density in g/cm3: 11.51
Energy of formation in eV per atom: -0.246

```
&SYSTEM
  ibrav = 0, nat = 8, ntyp = 3
/
ATOMIC_SPECIES
Au 196.97 Au.upf
Pb 207.20 Pb.upf
Sc 44.96 Sc.upf
CELL_PARAMETERS angstrom
7.8219 0.0000 0.0000
0.0000 7.8219 0.0000
3.9109 3.9109 3.0475
ATOMIC_POSITIONS crystal
Au 0.1423 0.6250 0.2500
Au 0.3750 0.3923 0.7500
Au 0.8750 0.8577 0.7500
Au 0.6077 0.1250 0.2500
Pb 0.7500 0.2500 0.5000
Pb 0.0000 0.0000 0.0000
Sc 0.5000 0.5000 0.0000
Sc 0.2500 0.7500 0.5000
```

=====

# 5
An optimized crystal structure of Sc2PbAu. Source: the Alexandria database, functional PBE. Values from VASP.

Electronic total energy in eV/atom: -5.345
Total moment in μB/cell: 0.0
Mass density in g/cm3: 8.61
Energy of formation in eV per atom: -0.433

```
&SYSTEM
  ibrav = 0, nat = 4, ntyp = 3
/
ATOMIC_SPECIES
Sc 44.96 Sc.upf
Pb 207.20 Pb.upf
Au 196.97 Au.upf
CELL_PARAMETERS angstrom
-1.7125 -3.1011 0.1927
-0.0898 -1.7896 3.0620
-7.9436 2.5636 3.3206
ATOMIC_POSITIONS crystal
Sc 0.0723 0.0723 0.7831
Sc 0.2605 0.2605 0.2184
Pb 0.4998 0.4998 0.5007
Au 0.6674 0.6674 0.9978
```

=====

# 6
An optimized crystal structure of SmScPbAu. Source: the Alexandria database, functional PBE. Values from VASP.

Electronic total energy in eV/atom: -5.065
Total moment in μB/cell: 0.9
Mass density in g/cm3: 10.07
Energy of formation in eV per atom: -0.556

```
&SYSTEM
  ibrav = 0, nat = 4, ntyp = 4
/
ATOMIC_SPECIES
Sc 44.96 Sc.upf
Pb 207.20 Pb.upf
Au 196.97 Au.upf
Sm 150.36 Sm.upf
CELL_PARAMETERS angstrom
5.1908 0.0000 0.0000
2.5954 4.4954 0.0000
2.5954 1.4985 4.2383
ATOMIC_POSITIONS crystal
Sc 0.0000 0.0000 0.0000
Pb 0.2500 0.2500 0.2500
Au 0.7500 0.7500 0.7500
Sm 0.5000 0.5000 0.5000
```

=====

# 7
An optimized crystal structure of TbScPbAu. Source: the Alexandria database, functional PBE. Values from VASP.

Electronic total energy in eV/atom: -5.052
Total moment in μB/cell: 0.8
Mass density in g/cm3: 10.49
Energy of formation in eV per atom: -0.565

```
&SYSTEM
  ibrav = 0, nat = 4, ntyp = 4
/
ATOMIC_SPECIES
Sc 44.96 Sc.upf
Pb 207.20 Pb.upf
Au 196.97 Au.upf
Tb 158.93 Tb.upf
CELL_PARAMETERS angstrom
-4.7819 1.8573 0.3756
-3.4038 -0.8817 -3.7542
-3.9459 -3.1997 0.8054
ATOMIC_POSITIONS crystal
Sc 0.2500 0.2500 0.2500
Pb 0.5000 0.5000 0.5000
Au 0.0000 0.0000 0.0000
Tb 0.7500 0.7500 0.7500
```

=====

# 8
An optimized crystal structure of ScTe3PbAu. Source: the Alexandria database, functional PBE. Values from VASP.

Electronic total energy in eV/atom: -4.415
Total moment in μB/cell: 0.0
Mass density in g/cm3: 7.93
Energy relative to the elements, uncorrected in meV/atom: -624

```
&SYSTEM
  ibrav = 0, nat = 12, ntyp = 4
/
ATOMIC_SPECIES
Au 196.97 Au.upf
Pb 207.20 Pb.upf
Te 127.60 Te.upf
Sc 44.96 Sc.upf
CELL_PARAMETERS angstrom
4.2413 0.0000 0.0000
0.0000 8.1965 -0.4415
0.0000 -2.6008 10.1566
ATOMIC_POSITIONS crystal
Au 0.2500 0.1001 0.5985
Au 0.7500 0.8999 0.4015
Pb 0.7500 0.7283 0.7170
Pb 0.2500 0.2717 0.2830
Te 0.7500 0.2957 0.5381
Te 0.2500 0.7043 0.4619
Te 0.2500 0.5681 0.8796
Te 0.7500 0.4319 0.1204
Te 0.2500 0.0605 0.8485
Te 0.7500 0.9395 0.1515
Sc 0.2500 0.7037 0.1809
Sc 0.7500 0.2963 0.8191
```

=====

# 9
An optimized crystal structure of TmScPbAu. Source: the Alexandria database, functional PBE. Values from VASP.

Electronic total energy in eV/atom: -5.000
Total moment in μB/cell: 0.7
Mass density in g/cm3: 10.96
Energy of formation in eV per atom: -0.553

```
&SYSTEM
  ibrav = 0, nat = 4, ntyp = 4
/
ATOMIC_SPECIES
Tm 168.93 Tm.upf
Au 196.97 Au.upf
Pb 207.20 Pb.upf
Sc 44.96 Sc.upf
CELL_PARAMETERS angstrom
5.0974 0.0000 0.0000
2.5487 4.4145 0.0000
2.5487 1.4715 4.1620
ATOMIC_POSITIONS crystal
Tm 0.7500 0.7500 0.7500
Au 0.0000 0.0000 0.0000
Pb 0.5000 0.5000 0.5000
Sc 0.2500 0.2500 0.2500
```

=====

# 10
An optimized crystal structure of ZrScPbAu. Source: the Alexandria database, functional PBE. Values from VASP.

Electronic total energy in eV/atom: -5.838
Total moment in μB/cell: 0.0
Mass density in g/cm3: 10.24
Energy of formation in eV per atom: -0.372

```
&SYSTEM
  ibrav = 0, nat = 4, ntyp = 4
/
ATOMIC_SPECIES
Au 196.97 Au.upf
Sc 44.96 Sc.upf
Zr 91.22 Zr.upf
Pb 207.20 Pb.upf
CELL_PARAMETERS angstrom
4.9854 0.0000 0.0000
2.4927 4.3175 0.0000
2.4927 1.4392 4.0706
ATOMIC_POSITIONS crystal
Au 0.2500 0.2500 0.2500
Sc 0.0000 0.0000 0.0000
Zr 0.5000 0.5000 0.5000
Pb 0.7500 0.7500 0.7500
```

=====

# 11
An optimized crystal structure of PbAu3Se. Source: the Alexandria database, functional PBE. Values from VASP.

Electronic total energy in eV/atom: -2.508
Total moment in μB/cell: 1.6
Mass density in g/cm3: 9.47
ΔE to the lowest computed polymorph in meV/atom: 544
Energy relative to the elements, uncorrected in meV/atom: 897

```
&SYSTEM
  ibrav = 0, nat = 5, ntyp = 3
/
ATOMIC_SPECIES
Au 196.97 Au.upf
Se 78.96 Se.upf
Pb 207.20 Pb.upf
CELL_PARAMETERS angstrom
-1.2415 4.3850 -2.8160
-2.9967 -2.9691 -3.3021
-4.2635 0.8100 3.1410
ATOMIC_POSITIONS crystal
Au 0.0000 0.5000 0.0000
Au 0.5000 0.0000 0.0000
Au 0.0000 0.0000 0.5000
Se 0.5000 0.5000 0.5000
Pb 0.0000 0.0000 0.0000
```

=====

# 12
An optimized crystal structure of Pb2AuSe. Source: the Alexandria database, functional PBE. Values from VASP.

Electronic total energy in eV/atom: -3.403
Total moment in μB/cell: 0.0
Mass density in g/cm3: 11.16
Energy relative to the elements, uncorrected in meV/atom: 142

```
&SYSTEM
  ibrav = 0, nat = 4, ntyp = 3
/
ATOMIC_SPECIES
Pb 207.20 Pb.upf
Au 196.97 Au.upf
Se 78.96 Se.upf
CELL_PARAMETERS angstrom
5.2566 0.0000 0.0000
2.6283 4.5523 0.0000
2.6283 1.5174 4.2920
ATOMIC_POSITIONS crystal
Pb 0.0000 0.0000 0.0000
Pb 0.2500 0.2500 0.2500
Au 0.5000 0.5000 0.5000
Se 0.7500 0.7500 0.7500
```